# 1
# LiErInIr GGA-PBE relaxed
data_LiErInIr
_space_group_name_H-M_alt 'F -4 3 m'
_space_group_IT_number 216
_space_group_name_Hall 'F -4 2 3'
_cell_length_a 6.701
_cell_length_b 6.701
_cell_length_c 6.701
_cell_angle_alpha 90.00
_cell_angle_beta 90.00
_cell_angle_gamma 90.00
loop_
_atom_site_label
_atom_site_type_symbol
_atom_site_fract_x
_atom_site_fract_y
_atom_site_fract_z
Li1 Li 0.000 0.000 0.000
Er1 Er 0.250 0.250 0.750
In1 In 0.250 0.250 0.250
Ir1 Ir 0.000 0.000 0.500
# - size of the total moment (μB per cell) = 0.00
# - density of states at the Fermi level (states/eV/f.u.) = 3.69
# - E_form (meV/atom) = -540
# - density (g/cm³) = 10.62

# 2
# ErInNiIr GGA-PBE relaxed
data_ErInNiIr
_space_group_name_H-M_alt 'F -4 3 m'
_space_group_IT_number 216
_space_group_name_Hall 'F -4 2 3'
_cell_length_a 6.584
_cell_length_b 6.584
_cell_length_c 6.584
_cell_angle_alpha 90.00
_cell_angle_beta 90.00
_cell_angle_gamma 90.00
loop_
_atom_site_label
_atom_site_type_symbol
_atom_site_fract_x
_atom_site_fract_y
_atom_site_fract_z
Er1 Er 0.000 0.000 0.000
In1 In 0.000 0.000 0.500
Ni1 Ni 0.250 0.250 0.250
Ir1 Ir 0.250 0.250 0.750
# - size of the total moment (μB per cell) = 0.00
# - density of states at the Fermi level (states/eV/f.u.) = 2.78
# - E_form (meV/atom) = -469
# - density (g/cm³) = 12.40

# 3
# Er5In2Ir2Os GGA-PBE relaxed
data_Er5In2Ir2Os
_space_group_name_H-M_alt 'P 4/m b m'
_space_group_IT_number 127
_space_group_name_Hall '-P 4 2ab'
_cell_length_a 11.588
_cell_length_b 11.588
_cell_length_c 3.496
_cell_angle_alpha 90.00
_cell_angle_beta 90.00
_cell_angle_gamma 90.00
loop_
_atom_site_label
_atom_site_type_symbol
_atom_site_fract_x
_atom_site_fract_y
_atom_site_fract_z
Er1 Er 0.000 0.500 0.000
Er2 Er 0.063 0.194 0.000
In1 In 0.181 0.681 0.500
Ir1 Ir 0.136 0.364 0.500
Os1 Os 0.000 0.000 0.500
# - size of the total moment (μB per cell) = 0.00
# - density of states at the Fermi level (states/eV/f.u.) = 6.23
# - E_form (meV/atom) = -520
# - density (g/cm³) = 11.61

# 4
# Er5In2Ir2Pd GGA-PBE relaxed
data_Er5In2Ir2Pd
_space_group_name_H-M_alt 'P 4/m b m'
_space_group_IT_number 127
_space_group_name_Hall '-P 4 2ab'
_cell_length_a 11.563
_cell_length_b 11.563
_cell_length_c 3.586
_cell_angle_alpha 90.00
_cell_angle_beta 90.00
_cell_angle_gamma 90.00
loop_
_atom_site_label
_atom_site_type_symbol
_atom_site_fract_x
_atom_site_fract_y
_atom_site_fract_z
Er1 Er 0.000 0.500 0.000
Er2 Er 0.072 0.198 0.000
In1 In 0.175 0.675 0.500
Ir1 Ir 0.135 0.365 0.500
Pd1 Pd 0.000 0.000 0.500
# - size of the total moment (μB per cell) = 0.00
# - density of states at the Fermi level (states/eV/f.u.) = 5.66
# - E_form (meV/atom) = -694
# - density (g/cm³) = 10.78

# 5
# ErInIrPd GGA-PBE relaxed
data_ErInIrPd
_space_group_name_H-M_alt 'F -4 3 m'
_space_group_IT_number 216
_space_group_name_Hall 'F -4 2 3'
_cell_length_a 6.699
_cell_length_b 6.699
_cell_length_c 6.699
_cell_angle_alpha 90.00
_cell_angle_beta 90.00
_cell_angle_gamma 90.00
loop_
_atom_site_label
_atom_site_type_symbol
_atom_site_fract_x
_atom_site_fract_y
_atom_site_fract_z
Er1 Er 0.000 0.000 0.000
In1 In 0.000 0.000 0.500
Ir1 Ir 0.250 0.250 0.750
Pd1 Pd 0.250 0.250 0.250
# - size of the total moment (μB per cell) = 0.00
# - density of states at the Fermi level (states/eV/f.u.) = 2.77
# - E_form (meV/atom) = -696
# - density (g/cm³) = 12.83

# 6
# ErInIrPt GGA-PBE relaxed
data_ErInIrPt
_space_group_name_H-M_alt 'F -4 3 m'
_space_group_IT_number 216
_space_group_name_Hall 'F -4 2 3'
_cell_length_a 6.703
_cell_length_b 6.703
_cell_length_c 6.703
_cell_angle_alpha 90.00
_cell_angle_beta 90.00
_cell_angle_gamma 90.00
loop_
_atom_site_label
_atom_site_type_symbol
_atom_site_fract_x
_atom_site_fract_y
_atom_site_fract_z
Er1 Er 0.000 0.000 0.000
In1 In 0.000 0.000 0.500
Ir1 Ir 0.250 0.250 0.750
Pt1 Pt 0.250 0.250 0.250
# - size of the total moment (μB per cell) = 0.00
# - density of states at the Fermi level (states/eV/f.u.) = 2.51
# - E_form (meV/atom) = -699
# - density (g/cm³) = 14.76

# 7
# ErPuInIr GGA-PBE relaxed
data_ErPuInIr
_space_group_name_H-M_alt 'F -4 3 m'
_space_group_IT_number 216
_space_group_name_Hall 'F -4 2 3'
_cell_length_a 7.156
_cell_length_b 7.156
_cell_length_c 7.156
_cell_angle_alpha 90.00
_cell_angle_beta 90.00
_cell_angle_gamma 90.00
loop_
_atom_site_label
_atom_site_type_symbol
_atom_site_fract_x
_atom_site_fract_y
_atom_site_fract_z
Er1 Er 0.000 0.000 0.000
Pu1 Pu 0.000 0.000 0.500
In1 In 0.250 0.250 0.750
Ir1 Ir 0.250 0.250 0.250
# - size of the total moment (μB per cell) = 21.33
# - density of states at the Fermi level (states/eV/f.u.) = 7.20
# - E_form (meV/atom) = -337
# - density (g/cm³) = 13.02

# 8
# ErInIrRh GGA-PBE relaxed
data_ErInIrRh
_space_group_name_H-M_alt 'F -4 3 m'
_space_group_IT_number 216
_space_group_name_Hall 'F -4 2 3'
_cell_length_a 6.623
_cell_length_b 6.623
_cell_length_c 6.623
_cell_angle_alpha 90.00
_cell_angle_beta 90.00
_cell_angle_gamma 90.00
loop_
_atom_site_label
_atom_site_type_symbol
_atom_site_fract_x
_atom_site_fract_y
_atom_site_fract_z
Er1 Er 0.000 0.000 0.000
In1 In 0.000 0.000 0.500
Ir1 Ir 0.250 0.250 0.750
Rh1 Rh 0.250 0.250 0.250
# - energy relative to the lowest polymorph listed for this composition (kJ/mol of atoms) = 1.5
# - size of the total moment (μB per cell) = 0.00
# - density of states at the Fermi level (states/eV/f.u.) = 0.95
# - E_form (meV/atom) = -672
# - density (g/cm³) = 13.19

# 9
# ErInIrRh GGA-PBE relaxed
data_ErInIrRh
_space_group_name_H-M_alt 'P m m m'
_space_group_IT_number 47
_space_group_name_Hall '-P 2 2'
_cell_length_a 3.577
_cell_length_b 4.485
_cell_length_c 4.501
_cell_angle_alpha 90.00
_cell_angle_beta 90.00
_cell_angle_gamma 90.00
loop_
_atom_site_label
_atom_site_type_symbol
_atom_site_fract_x
_atom_site_fract_y
_atom_site_fract_z
Er1 Er 0.000 0.000 0.000
In1 In 0.000 0.500 0.500
Ir1 Ir 0.500 0.500 0.000
Rh1 Rh 0.500 0.000 0.500
# - energy relative to the lowest polymorph listed for this composition (kJ/mol of atoms) = 0.0
# - size of the total moment (μB per cell) = 0.00
# - density of states at the Fermi level (states/eV/f.u.) = 0.94
# - E_form (meV/atom) = -688
# - density (g/cm³) = 13.27

# 10
# Er5In2Ir2Ru GGA-PBE relaxed
data_Er5In2Ir2Ru
_space_group_name_H-M_alt 'P 4/m b m'
_space_group_IT_number 127
_space_group_name_Hall '-P 4 2ab'
_cell_length_a 11.576
_cell_length_b 11.576
_cell_length_c 3.503
_cell_angle_alpha 90.00
_cell_angle_beta 90.00
_cell_angle_gamma 90.00
loop_
_atom_site_label
_atom_site_type_symbol
_atom_site_fract_x
_atom_site_fract_y
_atom_site_fract_z
Er1 Er 0.000 0.500 0.000
Er2 Er 0.064 0.194 0.000
In1 In 0.180 0.680 0.500
Ir1 Ir 0.137 0.363 0.500
Ru1 Ru 0.000 0.000 0.500
# - size of the total moment (μB per cell) = 0.00
# - density of states at the Fermi level (states/eV/f.u.) = 6.28
# - E_form (meV/atom) = -561
# - density (g/cm³) = 10.98

# 11
# Er5In2IrRu2 GGA-PBE relaxed
data_Er5In2IrRu2
_space_group_name_H-M_alt 'P 4/m b m'
_space_group_IT_number 127
_space_group_name_Hall '-P 4 2ab'
_cell_length_a 11.609
_cell_length_b 11.609
_cell_length_c 3.437
_cell_angle_alpha 90.00
_cell_angle_beta 90.00
_cell_angle_gamma 90.00
loop_
_atom_site_label
_atom_site_type_symbol
_atom_site_fract_x
_atom_site_fract_y
_atom_site_fract_z
Er1 Er 0.000 0.500 0.000
Er2 Er 0.062 0.196 0.000
In1 In 0.182 0.682 0.500
Ir1 Ir 0.000 0.000 0.500
Ru1 Ru 0.137 0.363 0.500
# - size of the total moment (μB per cell) = 0.00
# - density of states at the Fermi level (states/eV/f.u.) = 6.25
# - E_form (meV/atom) = -450
# - density (g/cm³) = 10.47

# 12
# ErScInIr GGA-PBE relaxed
data_ErScInIr
_space_group_name_H-M_alt 'F -4 3 m'
_space_group_IT_number 216
_space_group_name_Hall 'F -4 2 3'
_cell_length_a 6.946
_cell_length_b 6.946
_cell_length_c 6.946
_cell_angle_alpha 90.00
_cell_angle_beta 90.00
_cell_angle_gamma 90.00
loop_
_atom_site_label
_atom_site_type_symbol
_atom_site_fract_x
_atom_site_fract_y
_atom_site_fract_z
Er1 Er 0.000 0.000 0.000
Sc1 Sc 0.000 0.000 0.500
In1 In 0.250 0.250 0.750
Ir1 Ir 0.250 0.250 0.250
# - energy relative to the lowest polymorph listed for this composition (kJ/mol of atoms) = 11.7
# - size of the total moment (μB per cell) = 0.00
# - density of states at the Fermi level (states/eV/f.u.) = 2.40
# - E_form (meV/atom) = -587
# - density (g/cm³) = 10.29